# PBE Pa3Si4, relaxed
data_Pa3Si4
_space_group_name_H-M_alt 'I m m m'
_space_group_IT_number 71
_space_group_name_Hall '-I 2 2'
_cell_length_a 4.001
_cell_length_b 4.050
_cell_length_c 17.467
_cell_angle_alpha 90.00
_cell_angle_beta 90.00
_cell_angle_gamma 90.00
loop_
_atom_site_label
_atom_site_type_symbol
_atom_site_fract_x
_atom_site_fract_y
_atom_site_fract_z
Pa1 Pa 0.000 0.000 0.000
Pa2 Pa 0.000 0.500 0.314
Si1 Si 0.000 0.000 0.434
Si2 Si 0.000 0.500 0.145
# - crystal system = orthorhombic
# - M_tot (μB/f.u.) = 0.0
# - volume (Å³/atom) = 20.22
# - energy relative to the elements, uncorrected (eV/atom) = -0.505
# - N(E_F) (states/eV/cell) = 21.82

# PBE Pa5Si, relaxed
data_Pa5Si
_space_group_name_H-M_alt 'C m m m'
_space_group_IT_number 65
_space_group_name_Hall '-C 2 2'
_cell_length_a 4.557
_cell_length_b 13.674
_cell_length_c 4.405
_cell_angle_alpha 90.00
_cell_angle_beta 90.00
_cell_angle_gamma 90.00
loop_
_atom_site_label
_atom_site_type_symbol
_atom_site_fract_x
_atom_site_fract_y
_atom_site_fract_z
Pa1 Pa 0.000 0.000 0.000
Pa2 Pa 0.000 0.159 0.500
Pa3 Pa 0.000 0.341 0.000
Si1 Si 0.000 0.500 0.500
# - crystal system = orthorhombic
# - M_tot (μB/f.u.) = 0.0
# - volume (Å³/atom) = 22.87
# - energy relative to the elements, uncorrected (eV/atom) = -0.176
# - N(E_F) (states/eV/cell) = 22.57

# PBE Pa5Si6, relaxed
data_Pa5Si6
_space_group_name_H-M_alt 'C m m m'
_space_group_IT_number 65
_space_group_name_Hall '-C 2 2'
_cell_length_a 3.993
_cell_length_b 27.986
_cell_length_c 4.066
_cell_angle_alpha 90.00
_cell_angle_beta 90.00
_cell_angle_gamma 90.00
loop_
_atom_site_label
_atom_site_type_symbol
_atom_site_fract_x
_atom_site_fract_y
_atom_site_fract_z
Pa1 Pa 0.000 0.000 0.000
Pa2 Pa 0.000 0.197 0.500
Pa3 Pa 0.000 0.384 0.000
Si1 Si 0.000 0.091 0.500
Si2 Si 0.000 0.279 0.000
Si3 Si 0.000 0.459 0.500
# - crystal system = orthorhombic
# - M_tot (μB/f.u.) = 0.0
# - volume (Å³/atom) = 20.65
# - energy relative to the elements, uncorrected (eV/atom) = -0.490
# - N(E_F) (states/eV/cell) = 36.19